# 1
Density functional theory data (GGA-PBE) for a geometry-optimized La2ZnTe structure.

Unit cell a=4.5175 b=4.5088 c=6.4129 alpha=90.00 beta=90.05 gamma=90.00
Last column: nearest neighbours and their distance in Å.
Space group P2/m (No. 10)
Inequivalent atoms, fractional coordinates:
La: 0.0000 0.0000 0.0000  4 Te 3.19, 2 Zn 3.21
La: 0.5000 0.5000 0.5000  4 Zn 3.19, 2 Te 3.21
Zn: 0.0000 0.0000 0.5000  6 La 3.19-3.21
Te: 0.5000 0.5000 0.0000  6 La 3.19-3.21

Properties
VASP energy = -4.413 eV per atom
Fermi-level density of states = 3.94 states/eV/f.u.
energy relative to the lowest polymorph listed for this composition = 0.0359 eV per atom


# 2
Density functional theory data (GGA-PBE) for a geometry-optimized TcSb2Pb structure.

Unit cell a=6.3456 b=8.1204 c=3.6737 alpha=90.00 beta=90.70 gamma=90.00
Last column: nearest neighbours and their distance in Å.
Space group C2/m (No. 12)
Inequivalent atoms, fractional coordinates:
Tc: 0.0000 0.0000 0.0000  8 Sb 3.15-3.18, 2 Pb 3.17
Sb: 0.2500 0.2500 0.5000  4 Pb 3.15-3.18, 4 Tc 3.15-3.18, 2 Sb 3.17
Pb: 0.0000 0.5000 0.0000  8 Sb 3.15-3.18, 2 Tc 3.17

Properties
VASP energy = -4.949 eV per atom
Fermi-level density of states = 3.28 states/eV/f.u.


# 3
Density functional theory data (GGA-PBE) for a geometry-optimized ReRuN2 structure.

Unit cell a=4.1857 b=4.1857 c=10.7478 alpha=90.00 beta=90.00 gamma=90.00
Last column: nearest neighbours and their distance in Å.
Space group I-42d (No. 122)
Inequivalent atoms, fractional coordinates:
Re: 0.0000 0.0000 0.0000  4 N 1.96
Ru: 0.0000 0.0000 0.5000  4 N 2.03
N: 0.2342 0.2500 0.1250  2 Re 1.96, 2 Ru 2.03

Properties
VASP energy = -9.332 eV per atom
Fermi-level density of states = 2.19 states/eV/f.u.
energy relative to the lowest polymorph listed for this composition = 0.0000 eV per atom


# 4
Density functional theory data (GGA-PBE) for a geometry-optimized Ta2SnPS structure.

Unit cell a=5.1818 b=5.1818 c=4.6936 alpha=90.00 beta=90.00 gamma=90.00
Last column: nearest neighbours and their distance in Å.
Space group P4/mmm (No. 123)
Inequivalent atoms, fractional coordinates:
Ta: 0.0000 0.5000 0.0000  2 Sn 2.59
Sn: 0.0000 0.0000 0.0000  2 S 2.35, 4 Ta 2.59
P: 0.5000 0.5000 0.5000  8 Ta 3.50, 4 S 3.66
S: 0.0000 0.0000 0.5000  2 Sn 2.35

Properties
VASP energy = -5.441 eV per atom
Fermi-level density of states = 6.19 states/eV/f.u.


# 5
Density functional theory data (GGA-PBE) for a geometry-optimized Ho7Tl2In2 structure.

Unit cell a=7.9719 b=11.1683 c=7.7183 alpha=90.00 beta=90.00 gamma=90.00
Last column: nearest neighbours and their distance in Å.
Space group Cmmm (No. 65)
Inequivalent atoms, fractional coordinates:
Ho: 0.0000 0.0000 0.0000  2 Tl 3.27
Ho: 0.0000 0.5000 0.2672  2 Tl 3.10, 2 In 3.14, 4 Ho 3.43
Ho: 0.2500 0.2500 0.2875  2 Tl 3.02, 1 Ho 3.28, 2 In 3.29
Tl: 0.0000 0.2926 0.0000  7 Ho 3.02-3.27
In: 0.1773 0.0000 0.5000  1 In 2.83, 2 Ho 3.14

Properties
formation energy = -34 kJ/mol of formula units
VASP energy = -3.874 eV per atom
Fermi-level density of states = 10.99 states/eV/f.u.


# 6
Density functional theory data (GGA-PBE) for a geometry-optimized Cs2NpBiO6 structure.

Unit cell a=8.9408 b=8.9408 c=8.9408 alpha=90.00 beta=90.00 gamma=90.00
Last column: nearest neighbours and their distance in Å.
Space group Fm-3m (No. 225)
Inequivalent atoms, fractional coordinates:
Cs: 0.2500 0.2500 0.2500  12 O 3.17
Np: 0.0000 0.0000 0.0000  6 O 2.05
Bi: 0.0000 0.0000 0.5000  6 O 2.42
O: 0.0000 0.0000 0.2291  1 Np 2.05

Properties
VASP energy = -6.851 eV per atom


# 7
Density functional theory data (GGA-PBE) for a geometry-optimized LaRh2W structure.

Unit cell a=4.3070 b=4.3070 c=15.8495 alpha=90.00 beta=90.00 gamma=120.00
Last column: nearest neighbours and their distance in Å.
Space group R-3m (No. 166, hexagonal axes)
Inequivalent atoms, fractional coordinates:
La: 0.0000 0.0000 0.0000  8 Rh 3.16-3.33
Rh: 0.0000 0.0000 0.2099  3 W 2.58, 3 Rh 2.84
W: 0.0000 0.0000 0.5000  6 Rh 2.58

Properties
formation energy = -75 kJ/mol of formula units
VASP energy = -8.341 eV per atom
Fermi-level density of states = 4.30 states/eV/f.u.
energy relative to the lowest polymorph listed for this composition = 0.0000 eV per atom


# 8
Density functional theory data (GGA-PBE) for a geometry-optimized LiCa2Ni structure.

Unit cell a=8.0210 b=8.0210 c=6.6148 alpha=90.00 beta=90.00 gamma=90.00
Last column: nearest neighbours and their distance in Å.
Space group I-42d (No. 122)
Inequivalent atoms, fractional coordinates:
Li: 0.0000 0.0000 0.0000  8 Ca 3.24-3.57, 2 Ni 3.31
Ca: 0.2000 0.7500 0.6250  2 Ni 2.70
Ni: 0.0000 0.0000 0.5000  4 Ca 2.70

Properties
formation energy = 81 kJ/mol of formula units
VASP energy = -2.715 eV per atom
Fermi-level density of states = 2.81 states/eV/f.u.


# 9
Density functional theory data (GGA-PBE) for a geometry-optimized PmHoGaAu structure.

Unit cell a=7.2983 b=7.2983 c=7.2983 alpha=90.00 beta=90.00 gamma=90.00
Last column: nearest neighbours and their distance in Å.
Space group F-43m (No. 216)
Inequivalent atoms, fractional coordinates:
Pm: 0.0000 0.0000 0.0000  4 Ga 3.16, 4 Au 3.16
Ho: 0.0000 0.0000 0.5000  4 Au 3.16, 4 Ga 3.16
Ga: 0.2500 0.2500 0.7500  4 Ho 3.16, 4 Pm 3.16
Au: 0.2500 0.2500 0.2500  4 Pm 3.16, 4 Ho 3.16

Properties
formation energy = -256 kJ/mol of formula units
VASP energy = -4.570 eV per atom
Fermi-level density of states = 3.57 states/eV/f.u.
energy relative to the lowest polymorph listed for this composition = 0.0283 eV per atom


# 10
Density functional theory data (GGA-PBE) for a geometry-optimized ZrMn2Br structure.

Unit cell a=3.2094 b=3.2094 c=7.3654 alpha=90.00 beta=90.00 gamma=90.00
Last column: nearest neighbours and their distance in Å.
Space group P4mm (No. 99)
Inequivalent atoms, fractional coordinates:
Zr: 0.0000 0.0000 0.0000  5 Mn 2.72-2.87
Mn: 0.0000 0.0000 0.6098  4 Mn 2.66, 1 Zr 2.87
Mn: 0.5000 0.5000 0.7973  4 Mn 2.66, 4 Zr 2.72
Br: 0.5000 0.5000 0.2803  4 Zr 3.07, 4 Br 3.21, 4 Mn 3.32

Properties
VASP energy = -7.008 eV per atom
Fermi-level density of states = 3.02 states/eV/f.u.
energy relative to the lowest polymorph listed for this composition = 0.0865 eV per atom


# 11
Density functional theory data (GGA-PBE) for a geometry-optimized SrZnTc2Sb structure.

Unit cell a=4.9906 b=4.9906 c=6.0216 alpha=90.00 beta=90.00 gamma=90.00
Last column: nearest neighbours and their distance in Å.
Space group P4/mmm (No. 123)
Inequivalent atoms, fractional coordinates:
Sr: 0.0000 0.0000 0.0000  2 Sb 3.01
Zn: 0.5000 0.5000 0.0000  4 Sr 3.53, 8 Tc 3.91
Tc: 0.0000 0.5000 0.5000  2 Sb 2.50
Sb: 0.0000 0.0000 0.5000  4 Tc 2.50

Properties
VASP energy = -4.324 eV per atom
Fermi-level density of states = 6.54 states/eV/f.u.


# 12
Density functional theory data (GGA-PBE) for a geometry-optimized MgAlBr2 structure.

Unit cell a=4.1750 b=4.1750 c=13.0397 alpha=90.00 beta=90.00 gamma=90.00
Last column: nearest neighbours and their distance in Å.
Space group I-4m2 (No. 119)
Inequivalent atoms, fractional coordinates:
Mg: 0.0000 0.0000 0.0000  4 Br 2.95
Al: 0.0000 0.5000 0.7500  4 Br 2.95
Br: 0.0000 0.0000 0.5000  4 Mg 2.95
Br: 0.0000 0.5000 0.2500  4 Al 2.95

Properties
VASP energy = -2.433 eV per atom
Fermi-level density of states = 2.30 states/eV/f.u.
energy relative to the lowest polymorph listed for this composition = 0.3752 eV per atom